1.
{"formula": "KWCl6", "functional": "PBE-GGA", "state": "optimized geometry", "total_magnetization_mub_per_cell": 2.005, "dos_at_fermi_per_ev_atom": 0.770, "formation_energy_uncorrected_ev_per_atom": -1.1491, "spacegroup": "C2/c", "polymorph_energy_mev_per_atom": 0, "lattice_angstrom": [[5.521, -4.072, 0.000], [5.521, 4.072, 0.000], [-0.551, 0.000, 11.159]], "species": ["K", "K", "W", "W", "Cl", "Cl", "Cl", "Cl", "Cl", "Cl", "Cl", "Cl", "Cl", "Cl", "Cl", "Cl"], "frac_coords": [[0.006, 0.994, 0.750], [0.994, 0.006, 0.250], [0.000, 0.500, 0.500], [0.500, 0.000, 0.000], [0.129, 0.517, 0.310], [0.151, 0.191, 0.007], [0.191, 0.151, 0.507], [0.274, 0.590, 0.590], [0.410, 0.726, 0.910], [0.483, 0.871, 0.190], [0.517, 0.129, 0.810], [0.590, 0.274, 0.090], [0.726, 0.410, 0.410], [0.809, 0.849, 0.493], [0.849, 0.809, 0.993], [0.871, 0.483, 0.690]]}


2.
{"formula": "KW2Cl", "functional": "PBE-GGA", "state": "optimized geometry", "total_magnetization_mub_per_cell": 0.000, "dos_at_fermi_per_ev_atom": 0.415, "formation_energy_uncorrected_ev_per_atom": 0.8355, "spacegroup": "P2/m", "polymorph_energy_mev_per_atom": 598, "lattice_angstrom": [[3.177, 0.000, 0.000], [0.000, 7.029, 0.000], [-0.061, 0.000, 4.624]], "species": ["K", "W", "W", "Cl"], "frac_coords": [[0.000, 0.000, 0.000], [0.257, 0.500, 0.193], [0.743, 0.500, 0.807], [0.500, 0.000, 0.500]]}


3.
{"formula": "KWCl3", "functional": "PBE-GGA", "state": "optimized geometry", "total_magnetization_mub_per_cell": 3.209, "dos_at_fermi_per_ev_atom": 0.375, "formation_energy_uncorrected_ev_per_atom": -0.5674, "spacegroup": "Pm-3m", "polymorph_energy_mev_per_atom": 386, "lattice_angstrom": [[5.027, 0.000, 0.000], [0.000, 5.027, 0.000], [0.000, 0.000, 5.027]], "species": ["K", "W", "Cl", "Cl", "Cl"], "frac_coords": [[0.000, 0.000, 0.000], [0.500, 0.500, 0.500], [0.000, 0.500, 0.500], [0.500, 0.000, 0.500], [0.500, 0.500, 0.000]]}


4.
{"formula": "K2WCl", "functional": "PBE-GGA", "state": "optimized geometry", "total_magnetization_mub_per_cell": 9.679, "dos_at_fermi_per_ev_atom": 0.392, "formation_energy_uncorrected_ev_per_atom": 0.6146, "spacegroup": "Imm2", "polymorph_energy_mev_per_atom": 233, "lattice_angstrom": [[3.682, 0.000, 0.000], [0.000, 3.806, 0.000], [0.000, 0.000, 19.519]], "species": ["K", "K", "K", "K", "W", "W", "Cl", "Cl"], "frac_coords": [[0.000, 0.000, 0.000], [0.000, 0.500, 0.209], [0.500, 0.000, 0.709], [0.500, 0.500, 0.500], [0.000, 0.500, 0.840], [0.500, 0.000, 0.340], [0.000, 0.000, 0.582], [0.500, 0.500, 0.082]]}


5.
{"formula": "KW2Cl8", "functional": "PBE-GGA", "state": "optimized geometry", "total_magnetization_mub_per_cell": 4.513, "dos_at_fermi_per_ev_atom": 0.840, "formation_energy_uncorrected_ev_per_atom": -0.8675, "spacegroup": "C2/m", "lattice_angstrom": [[8.079, -3.638, 0.000], [8.079, 3.638, 0.000], [-1.876, 0.000, 5.726]], "species": ["K", "W", "W", "Cl", "Cl", "Cl", "Cl", "Cl", "Cl", "Cl", "Cl"], "frac_coords": [[0.000, 0.000, 0.000], [0.253, 0.253, 0.003], [0.747, 0.747, 0.997], [0.054, 0.560, 0.813], [0.121, 0.121, 0.682], [0.383, 0.383, 0.311], [0.440, 0.946, 0.187], [0.560, 0.054, 0.813], [0.617, 0.617, 0.689], [0.879, 0.879, 0.318], [0.946, 0.440, 0.187]]}


6.
{"formula": "KW2Cl", "functional": "PBE-GGA", "state": "optimized geometry", "total_magnetization_mub_per_cell": 0.000, "dos_at_fermi_per_ev_atom": 0.617, "formation_energy_uncorrected_ev_per_atom": 1.0001, "spacegroup": "I-42d", "polymorph_energy_mev_per_atom": 763, "lattice_angstrom": [[3.773, 0.000, 0.000], [0.000, 3.773, 0.000], [0.000, 0.000, 29.482]], "species": ["K", "K", "K", "K", "W", "W", "W", "W", "W", "W", "W", "W", "Cl", "Cl", "Cl", "Cl"], "frac_coords": [[0.000, 0.000, 0.000], [0.000, 0.500, 0.250], [0.500, 0.000, 0.750], [0.500, 0.500, 0.500], [0.218, 0.750, 0.125], [0.250, 0.218, 0.875], [0.250, 0.282, 0.375], [0.282, 0.750, 0.625], [0.718, 0.250, 0.625], [0.750, 0.718, 0.375], [0.750, 0.782, 0.875], [0.782, 0.250, 0.125], [0.000, 0.000, 0.500], [0.000, 0.500, 0.750], [0.500, 0.000, 0.250], [0.500, 0.500, 0.000]]}